(1)
Be2GaTc2 | meta-GGA SCAN | single point on PBEsol structure

Calculated values
M_tot, Bohr magnetons per cell: 0.000

Cell lengths 3.152, 5.927, 5.927 Å; angles 90.00, 90.00, 90.00 degrees
Fractional positions:
Be: 0.000 0.380 0.880
Be: 0.000 0.880 0.620
Be: 0.000 0.620 0.120
Be: 0.000 0.120 0.380
Tc: 0.500 0.175 0.675
Tc: 0.500 0.675 0.825
Tc: 0.500 0.825 0.325
Tc: 0.500 0.325 0.175
Ga: 0.000 0.000 0.000
Ga: 0.000 0.500 0.500

***

(2)
BeGa3Te | meta-GGA SCAN | single point on PBEsol structure

Calculated values
M_tot, Bohr magnetons per cell: 0.000
ΔE_f (raw), eV/atom: 0.18

Cell lengths 4.584, 4.584, 4.584 Å; angles 90.00, 90.00, 90.00 degrees
Fractional positions:
Be: 0.000 0.000 0.000
Te: 0.500 0.500 0.500
Ga: 0.000 0.500 0.000
Ga: 0.000 0.000 0.500
Ga: 0.500 0.000 0.000

***

(3)
Be3GaTe | meta-GGA SCAN | single point on PBEsol structure

Calculated values
M_tot, Bohr magnetons per cell: 0.002
ΔE_f (raw), eV/atom: 0.77

Cell lengths 4.353, 4.353, 4.353 Å; angles 90.00, 90.00, 90.00 degrees
Fractional positions:
Be: 0.000 0.500 0.000
Be: 0.000 0.000 0.500
Be: 0.500 0.000 0.000
Te: 0.500 0.500 0.500
Ga: 0.000 0.000 0.000

***

(4)
Ti3BeGa | meta-GGA SCAN | single point on PBEsol structure

Calculated values
M_tot, Bohr magnetons per cell: 0.000

Cell lengths 4.301, 4.301, 4.301 Å; angles 90.00, 90.00, 90.00 degrees
Fractional positions:
Be: 0.000 0.000 0.000
Ga: 0.500 0.500 0.500
Ti: 0.000 0.500 0.000
Ti: 0.000 0.000 0.500
Ti: 0.500 0.000 0.000

***

(5)
YBe2Ga2 | meta-GGA SCAN | single point on PBEsol structure

Calculated values
M_tot, Bohr magnetons per cell: 0.000

Cell lengths 3.916, 3.916, 5.619 Å; angles 110.40, 110.40, 90.00 degrees
Fractional positions:
Y: 0.000 0.000 0.000
Be: 0.250 0.750 0.500
Be: 0.750 0.250 0.500
Ga: 0.374 0.374 0.749
Ga: 0.626 0.626 0.251

***

(6)
Zr3BeGa | meta-GGA SCAN | single point on PBEsol structure

Calculated values
M_tot, Bohr magnetons per cell: 0.000

Cell lengths 4.630, 4.630, 4.630 Å; angles 90.00, 90.00, 90.00 degrees
Fractional positions:
Be: 0.000 0.000 0.000
Ga: 0.500 0.500 0.500
Zr: 0.000 0.500 0.000
Zr: 0.000 0.000 0.500
Zr: 0.500 0.000 0.000

***

(7)
ZrBeGa3 | meta-GGA SCAN | single point on PBEsol structure

Calculated values
M_tot, Bohr magnetons per cell: 0.000

Cell lengths 4.346, 4.346, 4.346 Å; angles 90.00, 90.00, 90.00 degrees
Fractional positions:
Be: 0.000 0.000 0.000
Ga: 0.000 0.500 0.000
Ga: 0.000 0.000 0.500
Ga: 0.500 0.000 0.000
Zr: 0.500 0.500 0.500

***

(8)
Gd2Be2GeO7 | meta-GGA SCAN | single point on PBEsol structure

Calculated values
M_tot, Bohr magnetons per cell: 27.917
ΔE_f (raw), eV/atom: -3.09

Cell lengths 4.812, 7.444, 7.444 Å; angles 90.00, 90.00, 90.00 degrees
Fractional positions:
Gd: 0.996 0.159 0.341
Gd: 0.996 0.841 0.659
Gd: 0.004 0.341 0.841
Gd: 0.004 0.659 0.159
Be: 0.546 0.635 0.865
Be: 0.454 0.865 0.365
Be: 0.546 0.365 0.135
Be: 0.454 0.135 0.635
Ge: 0.500 0.500 0.500
Ge: 0.500 0.000 0.000
O: 0.216 0.358 0.142
O: 0.286 0.920 0.172
O: 0.714 0.828 0.920
O: 0.784 0.858 0.358
O: 0.714 0.420 0.328
O: 0.286 0.080 0.828
O: 0.681 0.500 0.000
O: 0.216 0.642 0.858
O: 0.319 0.000 0.500
O: 0.784 0.142 0.642
O: 0.286 0.672 0.420
O: 0.714 0.580 0.672
O: 0.286 0.328 0.580
O: 0.714 0.172 0.080

***

(9)
BeGe3H | meta-GGA SCAN | single point on PBEsol structure

Calculated values
M_tot, Bohr magnetons per cell: 0.000

Cell lengths 4.113, 4.113, 4.113 Å; angles 90.00, 90.00, 90.00 degrees
Fractional positions:
Be: 0.500 0.500 0.500
Ge: 0.000 0.500 0.000
Ge: 0.000 0.000 0.500
Ge: 0.500 0.000 0.000
H: 0.000 0.000 0.000

***

(10)
BeGeH3 | meta-GGA SCAN | single point on PBEsol structure

Calculated values
M_tot, Bohr magnetons per cell: 0.002

Cell lengths 3.606, 3.606, 3.606 Å; angles 90.00, 90.00, 90.00 degrees
Fractional positions:
Be: 0.500 0.500 0.500
Ge: 0.000 0.000 0.000
H: 0.000 0.500 0.000
H: 0.000 0.000 0.500
H: 0.500 0.000 0.000

***

(11)
HfBeGe2Os | meta-GGA SCAN | single point on PBEsol structure

Calculated values
M_tot, Bohr magnetons per cell: 0.000

Cell lengths 4.138, 4.138, 4.569 Å; angles 90.00, 90.00, 90.00 degrees
Fractional positions:
Hf: 0.000 0.000 0.500
Ge: 0.000 0.500 0.000
Ge: 0.500 0.000 0.000
Os: 0.500 0.500 0.500
Be: 0.000 0.000 0.000

***

(12)
Be3HgGe | meta-GGA SCAN | single point on PBEsol structure

Calculated values
M_tot, Bohr magnetons per cell: 0.000

Cell lengths 4.415, 4.415, 4.415 Å; angles 90.00, 90.00, 90.00 degrees
Fractional positions:
Be: 0.000 0.500 0.000
Be: 0.000 0.000 0.500
Be: 0.500 0.000 0.000
Ge: 0.500 0.500 0.500
Hg: 0.000 0.000 0.000

***

Going through the records in order, we get final energy values of -19.421, -17.952, -12.563, -13.662, -14.302, -22.516, -16.668, -18.848, -12.300, -5.791, -34.715, -19.173 eV per atom.
Going through the records in order, we get mass density values of 8.5, 6.0, 4.5, 4.6, 5.5, 5.9, 6.3, 6.4, 5.4, 3.0, 11.1, 5.8 g/cm3.
Going through the records in order, we get DOS at the Fermi energy values of 3.15, 1.58, 3.20, 3.84, 1.16, 3.75, 2.50, 0.00, 1.90, 0.62, 2.14, 1.81 states/eV/f.u..